Density functional theory data (GGA-PBE) for a relaxed TcBiTe2 crystal.

Unit cell a=3.1865 b=3.1865 c=38.3362 alpha=90.00 beta=90.00 gamma=120.00
Space group R-3m (No. 166, hexagonal axes)
Inequivalent atoms, fractional coordinates:
1 Tc 0.0000 0.0000 0.0000
2 Bi 0.0000 0.0000 0.5000
3 Te 0.0000 0.0000 0.0680

Values from the calculation:
Its density of states at the Fermi level is 4.18 states/eV/f.u. The value obtained for the electronic total energy is -4.448 eV/atom.